No. 1
A relaxed structure of SrHo2N. Source: the Alexandria database, functional GGA-PBE.

abc: 3.533 3.533 29.021
angles: 90.00 90.00 120.00
Sites, in units of the cell vectors:
Sr1 0.000 0.000 0.000
Sr2 0.333 0.667 0.667
Sr3 0.667 0.333 0.333
Ho1 0.000 0.000 0.122
Ho2 0.000 0.000 0.878
Ho3 0.333 0.667 0.545
Ho4 0.333 0.667 0.789
Ho5 0.667 0.333 0.211
Ho6 0.667 0.333 0.455
N1 0.000 0.000 0.500
N2 0.333 0.667 0.167
N3 0.667 0.333 0.833

Computed properties:
- formation energy (no corrections) (meV/atom) = -617
- E_tot (eV per atom) = -5.41
- SG = R-3m (166)

No. 2
A relaxed structure of MoAs. Source: the Alexandria database, functional GGA-PBE.

abc: 5.704 5.704 5.704
angles: 90.00 90.00 90.00
Sites, in units of the cell vectors:
Mo1 0.000 0.000 0.000
Mo2 0.000 0.500 0.500
Mo3 0.500 0.000 0.500
Mo4 0.500 0.500 0.000
As1 0.250 0.250 0.250
As2 0.250 0.750 0.750
As3 0.750 0.250 0.750
As4 0.750 0.750 0.250

Computed properties:
- ΔE_f (meV per atom) = 617
- E_tot (eV per atom) = -7.12
- SG = F-43m (216)

Number 1: M_tot 0.422 μB per cell. Number 2: M_tot 6.042 μB per cell.